Computed, not measured: an optimized crystal structure of ScNb2TlRh at the PBE level of DFT.

Values from the calculation:
M_tot in μB per formula unit: 0.0
Fermi-level density of states in states/eV per atom: 1.687
VASP energy in eV/atom: -5.63

a = 4.655 Å, b = 4.655 Å, c = 5.210 Å
α = 90.00°, β = 90.00°, γ = 90.00°
Space group P4/mmm (No. 123)
Asymmetric unit:
Sc 0.000 0.000 0.000 x1
Nb 0.000 0.500 0.000 x2
Tl 0.000 0.000 0.500 x1
Rh 0.500 0.500 0.500 x1